No. 1
# Pm2TlIrO5

A relaxed Pm2TlIrO5 crystal (PBE-GGA, Alexandria).

POSCAR file:
```
Pm2TlIrO5
1.0
-1.3554 5.6510 0.7396
-2.0878 -1.3390 6.4049
6.3475 1.2183 2.3238
O Tl Ir Pm
10 2 2 4
Direct
0.7422 0.8698 0.3698
0.2579 0.6302 0.8698
0.7422 0.6302 0.8698
0.2579 0.3698 0.1302
0.7422 0.1302 0.6302
0.2579 0.8698 0.3698
0.5000 0.0000 0.0000
0.7422 0.3698 0.1302
0.5000 0.5000 0.5000
0.2579 0.1302 0.6302
0.0000 0.0000 0.0000
0.0000 0.5000 0.5000
0.0000 0.5000 0.0000
0.0000 0.0000 0.5000
0.5000 0.1791 0.3209
0.5000 0.6791 0.1791
0.5000 0.3209 0.8209
0.5000 0.8209 0.6791
```

Calculated values
Volume (Å³/cell): 276.4
Formation energy without anion corrections (eV/atom): -2.053
Size of the total moment (μB per atom): 0.22

***

No. 2
# PmTl2IrO6

A relaxed PmTl2IrO6 crystal (PBE-GGA, Alexandria).

POSCAR file:
```
PmTl2IrO6
1.0
-2.8782 4.3448 -2.7766
-4.5016 -0.5434 3.8161
3.6009 5.6023 5.0455
O Tl Ir Pm
12 4 2 2
Direct
0.2389 0.1920 0.4538
0.2611 0.6920 0.0462
0.4117 0.9764 0.7250
0.1841 0.2336 0.0472
0.0883 0.4764 0.7750
0.7389 0.3080 0.9538
0.3159 0.7336 0.4528
0.8159 0.7664 0.9528
0.9117 0.5236 0.2250
0.5883 0.0236 0.2750
0.6841 0.2664 0.5472
0.7611 0.8080 0.5462
0.4924 0.4737 0.2485
0.9924 0.0263 0.7485
0.5076 0.5263 0.7515
0.0076 0.9737 0.2515
0.0000 0.5000 0.0000
0.5000 0.0000 0.5000
0.0000 0.5000 0.5000
0.5000 0.0000 0.0000
```

Calculated values
Volume (Å³/cell): 292.4
Formation energy without anion corrections (eV/atom): -1.351
Size of the total moment (μB per atom): 0.00

***

No. 3
# PmTlIrO6

A relaxed PmTlIrO6 crystal (PBE-GGA, Alexandria).

POSCAR file:
```
PmTlIrO6
1.0
5.7217 0.0000 0.0000
-2.8608 4.9551 0.0000
0.0000 0.0000 8.9911
O Tl Pm Ir
12 2 2 2
Direct
0.0492 0.3870 0.6280
0.0492 0.6622 0.8720
0.3378 0.3870 0.8720
0.6130 0.9508 0.8720
0.6622 0.0492 0.3720
0.6130 0.6622 0.6280
0.3870 0.3378 0.3720
0.9508 0.3378 0.1280
0.3870 0.0492 0.1280
0.6622 0.6130 0.1280
0.3378 0.9508 0.6280
0.9508 0.6130 0.3720
0.0000 0.0000 0.5000
0.0000 0.0000 0.0000
0.3333 0.6667 0.2500
0.6667 0.3333 0.7500
0.3333 0.6667 0.7500
0.6667 0.3333 0.2500
```

Calculated values
Volume (Å³/cell): 254.9
Formation energy without anion corrections (eV/atom): -1.302
Size of the total moment (μB per atom): 0.18

***

No. 4
# PmZn2IrO8

A relaxed PmZn2IrO8 crystal (PBE-GGA, Alexandria).

POSCAR file:
```
PmZn2IrO8
1.0
-3.6556 -0.7352 2.8918
-0.6635 -4.0516 -1.8118
4.1646 -2.7291 4.5718
O Zn Pm Ir
8 2 1 1
Direct
0.8567 0.2479 0.2082
0.5425 0.7540 0.5000
0.1431 0.7519 0.2083
0.6693 0.7672 0.0000
0.4575 0.2460 0.5000
0.1433 0.7521 0.7918
0.8569 0.2481 0.7917
0.3307 0.2328 0.0000
0.5000 0.5000 0.2364
0.5000 0.5000 0.7636
0.0000 0.0000 0.5000
0.0000 0.0000 0.0000
```

Calculated values
Volume (Å³/cell): 143.1
Formation energy without anion corrections (eV/atom): -1.178
Size of the total moment (μB per atom): 0.00